This record from Alexandria via LeMat-Bulk describes LiLa2Dy after structural relaxation. The functional is PBE-GGA.

```
data_LiLa2Dy
_cell_length_a 11.7478
_cell_length_b 11.7478
_cell_length_c 11.7478
_cell_angle_alpha 17.69
_cell_angle_beta 17.69
_cell_angle_gamma 17.69
_symmetry_space_group_name_H-M 'P 1'
_symmetry_Int_Tables_number 1
loop_
_symmetry_equiv_pos_as_xyz
'x,y,z'
loop_
_atom_site_label
_atom_site_type_symbol
_atom_site_fract_x
_atom_site_fract_y
_atom_site_fract_z
_atom_site_occupancy
Li1 Li 0.0000 0.0000 0.0000 1
La1 La 0.2512 0.2512 0.2512 1
La2 La 0.7488 0.7488 0.7488 1
Dy1 Dy 0.5000 0.5000 0.5000 1
```

Results
Spin magnetization ... 0.000 μB per formula unit
Symmetry ... R-3m, No. 166
Formation energy from the elements ... 0.3 eV/f.u.
Energy relative to the lowest polymorph listed for this composition ... 0.0 meV/atom

This record from Alexandria via LeMat-Bulk describes La5PmSm2 after structural relaxation. The functional is PBE-GGA.

```
data_La5PmSm2
_cell_length_a 9.8990
_cell_length_b 9.8990
_cell_length_c 6.7732
_cell_angle_alpha 100.03
_cell_angle_beta 100.03
_cell_angle_gamma 63.08
_symmetry_space_group_name_H-M 'P 1'
_symmetry_Int_Tables_number 1
loop_
_symmetry_equiv_pos_as_xyz
'x,y,z'
loop_
_atom_site_label
_atom_site_type_symbol
_atom_site_fract_x
_atom_site_fract_y
_atom_site_fract_z
_atom_site_occupancy
La1 La 0.0654 0.9346 0.7500 1
La2 La 0.1237 0.2904 0.0241 1
La3 La 0.2904 0.1237 0.5241 1
La4 La 0.3164 0.4987 0.8385 1
La5 La 0.4987 0.3164 0.3385 1
La6 La 0.5013 0.6836 0.6615 1
La7 La 0.6836 0.5013 0.1615 1
La8 La 0.7096 0.8763 0.4759 1
La9 La 0.8763 0.7096 0.9759 1
La10 La 0.9346 0.0654 0.2500 1
Pm1 Pm 0.0000 0.5000 0.5000 1
Pm2 Pm 0.5000 0.0000 0.0000 1
Sm1 Sm 0.1754 0.6568 0.3467 1
Sm2 Sm 0.3432 0.8246 0.1533 1
Sm3 Sm 0.6568 0.1754 0.8467 1
Sm4 Sm 0.8246 0.3432 0.6533 1
```

Results
Spin magnetization ... 0.000 μB per formula unit
Symmetry ... C2/c, No. 15
Formation energy from the elements ... 1.0 eV/f.u.
Energy relative to the lowest polymorph listed for this composition ... 11.4 meV/atom

This record from Alexandria via LeMat-Bulk describes TaBe17Re after structural relaxation. The functional is PBE-GGA.

```
data_TaBe17Re
_cell_length_a 5.5028
_cell_length_b 5.5028
_cell_length_c 5.5028
_cell_angle_alpha 83.16
_cell_angle_beta 83.16
_cell_angle_gamma 83.16
_symmetry_space_group_name_H-M 'P 1'
_symmetry_Int_Tables_number 1
loop_
_symmetry_equiv_pos_as_xyz
'x,y,z'
loop_
_atom_site_label
_atom_site_type_symbol
_atom_site_fract_x
_atom_site_fract_y
_atom_site_fract_z
_atom_site_occupancy
Ta1 Ta 0.0000 0.0000 0.0000 1
Be1 Be 0.0109 0.0109 0.4934 1
Be2 Be 0.0109 0.4934 0.0109 1
Be3 Be 0.1556 0.6646 0.6646 1
Be4 Be 0.3125 0.3125 0.8123 1
Be5 Be 0.3125 0.8123 0.3125 1
Be6 Be 0.3624 0.6553 0.9623 1
Be7 Be 0.3624 0.9623 0.6553 1
Be8 Be 0.4934 0.0109 0.0109 1
Be9 Be 0.5575 0.5575 0.5575 1
Be10 Be 0.6553 0.3624 0.9623 1
Be11 Be 0.6553 0.9623 0.3624 1
Be12 Be 0.6646 0.1556 0.6646 1
Be13 Be 0.6646 0.6646 0.1556 1
Be14 Be 0.7569 0.7569 0.7569 1
Be15 Be 0.8123 0.3125 0.3125 1
Be16 Be 0.9623 0.3624 0.6553 1
Be17 Be 0.9623 0.6553 0.3624 1
Re1 Re 0.3220 0.3220 0.3220 1
```

Results
Spin magnetization ... 0.000 μB per formula unit
Symmetry ... R3m, No. 160
Formation energy from the elements ... -3.0 eV/f.u.

This record from Alexandria via LeMat-Bulk describes IrINF2 after structural relaxation. The functional is PBE-GGA.

```
data_IrINF2
_cell_length_a 4.6934
_cell_length_b 4.6934
_cell_length_c 4.0224
_cell_angle_alpha 90.00
_cell_angle_beta 90.00
_cell_angle_gamma 90.00
_symmetry_space_group_name_H-M 'P 1'
_symmetry_Int_Tables_number 1
loop_
_symmetry_equiv_pos_as_xyz
'x,y,z'
loop_
_atom_site_label
_atom_site_type_symbol
_atom_site_fract_x
_atom_site_fract_y
_atom_site_fract_z
_atom_site_occupancy
Ir1 Ir 0.0000 0.0000 0.0000 1
I1 I 0.5000 0.5000 0.5000 1
N1 N 0.5000 0.5000 0.0000 1
F1 F 0.0000 0.5000 0.5000 1
F2 F 0.5000 0.0000 0.5000 1
```

Results
Spin magnetization ... 2.383 μB per formula unit
Symmetry ... P4/mmm, No. 123
Energy relative to the lowest polymorph listed for this composition ... 1243.2 meV/atom

This record from Alexandria via LeMat-Bulk describes ReTc2Sb after structural relaxation. The functional is PBE-GGA.

```
data_ReTc2Sb
_cell_length_a 6.9073
_cell_length_b 6.9073
_cell_length_c 6.9073
_cell_angle_alpha 129.30
_cell_angle_beta 129.30
_cell_angle_gamma 74.52
_symmetry_space_group_name_H-M 'P 1'
_symmetry_Int_Tables_number 1
loop_
_symmetry_equiv_pos_as_xyz
'x,y,z'
loop_
_atom_site_label
_atom_site_type_symbol
_atom_site_fract_x
_atom_site_fract_y
_atom_site_fract_z
_atom_site_occupancy
Re1 Re 0.0000 0.0000 0.0000 1
Re2 Re 0.7500 0.2500 0.5000 1
Tc1 Tc 0.0951 0.6250 0.9701 1
Tc2 Tc 0.3750 0.3451 0.4701 1
Tc3 Tc 0.6549 0.1250 0.0299 1
Tc4 Tc 0.8750 0.9049 0.5299 1
Sb1 Sb 0.2500 0.7500 0.5000 1
Sb2 Sb 0.5000 0.5000 0.0000 1
```

Results
Electronic total energy ... -66.017 eV per cell
Spin magnetization ... 0.000 μB per formula unit
Symmetry ... I-42d, No. 122

This record from Alexandria via LeMat-Bulk describes B2PtF after structural relaxation. The functional is PBE-GGA.

```
data_B2PtF
_cell_length_a 5.6629
_cell_length_b 5.6629
_cell_length_c 5.6629
_cell_angle_alpha 129.59
_cell_angle_beta 129.59
_cell_angle_gamma 74.06
_symmetry_space_group_name_H-M 'P 1'
_symmetry_Int_Tables_number 1
loop_
_symmetry_equiv_pos_as_xyz
'x,y,z'
loop_
_atom_site_label
_atom_site_type_symbol
_atom_site_fract_x
_atom_site_fract_y
_atom_site_fract_z
_atom_site_occupancy
B1 B 0.1125 0.6250 0.9875 1
B2 B 0.3750 0.3625 0.4875 1
B3 B 0.6375 0.1250 0.0125 1
B4 B 0.8750 0.8875 0.5125 1
Pt1 Pt 0.0000 0.0000 0.0000 1
Pt2 Pt 0.7500 0.2500 0.5000 1
F1 F 0.2500 0.7500 0.5000 1
F2 F 0.5000 0.5000 0.0000 1
```

Results
Spin magnetization ... 0.000 μB per formula unit
Symmetry ... I-42d, No. 122
Energy relative to the lowest polymorph listed for this composition ... 0.0 meV/atom

This record from Alexandria via LeMat-Bulk describes ZnCrHg3 after structural relaxation. The functional is PBE-GGA.

```
data_ZnCrHg3
_cell_length_a 5.4103
_cell_length_b 5.4103
_cell_length_c 5.4103
_cell_angle_alpha 90.00
_cell_angle_beta 90.00
_cell_angle_gamma 90.00
_symmetry_space_group_name_H-M 'P 1'
_symmetry_Int_Tables_number 1
loop_
_symmetry_equiv_pos_as_xyz
'x,y,z'
loop_
_atom_site_label
_atom_site_type_symbol
_atom_site_fract_x
_atom_site_fract_y
_atom_site_fract_z
_atom_site_occupancy
Zn1 Zn 0.0000 0.0000 0.0000 1
Cr1 Cr 0.5000 0.5000 0.5000 1
Hg1 Hg 0.0000 0.5000 0.5000 1
Hg2 Hg 0.5000 0.0000 0.5000 1
Hg3 Hg 0.5000 0.5000 0.0000 1
```

Results
Spin magnetization ... 4.793 μB per formula unit
Symmetry ... Pm-3m, No. 221
Formation energy from the elements ... 2.6 eV/f.u.
Energy relative to the lowest polymorph listed for this composition ... 0.0 meV/atom

This record from Alexandria via LeMat-Bulk describes SrPmMnSe4 after structural relaxation. The functional is PBE-GGA.

```
data_SrPmMnSe4
_cell_length_a 7.0124
_cell_length_b 6.4249
_cell_length_c 8.6107
_cell_angle_alpha 90.00
_cell_angle_beta 107.27
_cell_angle_gamma 90.00
_symmetry_space_group_name_H-M 'P 1'
_symmetry_Int_Tables_number 1
loop_
_symmetry_equiv_pos_as_xyz
'x,y,z'
loop_
_atom_site_label
_atom_site_type_symbol
_atom_site_fract_x
_atom_site_fract_y
_atom_site_fract_z
_atom_site_occupancy
Sr1 Sr 0.2410 0.2500 0.4376 1
Sr2 Sr 0.7590 0.7500 0.5624 1
Pm1 Pm 0.2529 0.2500 0.9399 1
Pm2 Pm 0.7471 0.7500 0.0601 1
Mn1 Mn 0.2613 0.7500 0.1836 1
Mn2 Mn 0.7387 0.2500 0.8164 1
Se1 Se 0.0733 0.7500 0.3759 1
Se2 Se 0.0738 0.7500 0.9013 1
Se3 Se 0.4866 0.5104 0.7628 1
Se4 Se 0.4866 0.9896 0.7628 1
Se5 Se 0.5134 0.0104 0.2372 1
Se6 Se 0.5134 0.4896 0.2372 1
Se7 Se 0.9262 0.2500 0.0987 1
Se8 Se 0.9267 0.2500 0.6241 1
```

Results
Electronic total energy ... -78.243 eV per cell
Spin magnetization ... 3.994 μB per formula unit
Symmetry ... P2_1/m, No. 11

This record from Alexandria via LeMat-Bulk describes PmTePt after structural relaxation. The functional is PBE-GGA.

```
data_PmTePt
_cell_length_a 4.5159
_cell_length_b 4.5159
_cell_length_c 4.1730
_cell_angle_alpha 90.00
_cell_angle_beta 90.00
_cell_angle_gamma 120.00
_symmetry_space_group_name_H-M 'P 1'
_symmetry_Int_Tables_number 1
loop_
_symmetry_equiv_pos_as_xyz
'x,y,z'
loop_
_atom_site_label
_atom_site_type_symbol
_atom_site_fract_x
_atom_site_fract_y
_atom_site_fract_z
_atom_site_occupancy
Pm1 Pm 0.0000 0.0000 0.0000 1
Te1 Te 0.3333 0.6667 0.4757 1
Pt1 Pt 0.6667 0.3333 0.5956 1
```

Results
Spin magnetization ... 0.000 μB per formula unit
Symmetry ... P3m1, No. 156
Energy relative to the lowest polymorph listed for this composition ... 0.0 meV/atom

This record from Alexandria via LeMat-Bulk describes HoTm2Pt9 after structural relaxation. The functional is PBE-GGA.

```
data_HoTm2Pt9
_cell_length_a 4.0969
_cell_length_b 4.0969
_cell_length_c 12.2899
_cell_angle_alpha 90.00
_cell_angle_beta 90.00
_cell_angle_gamma 90.00
_symmetry_space_group_name_H-M 'P 1'
_symmetry_Int_Tables_number 1
loop_
_symmetry_equiv_pos_as_xyz
'x,y,z'
loop_
_atom_site_label
_atom_site_type_symbol
_atom_site_fract_x
_atom_site_fract_y
_atom_site_fract_z
_atom_site_occupancy
Ho1 Ho 0.0000 0.0000 0.0000 1
Tm1 Tm 0.0000 0.0000 0.3338 1
Tm2 Tm 0.0000 0.0000 0.6662 1
Pt1 Pt 0.0000 0.5000 0.1679 1
Pt2 Pt 0.0000 0.5000 0.5000 1
Pt3 Pt 0.0000 0.5000 0.8321 1
Pt4 Pt 0.5000 0.0000 0.1679 1
Pt5 Pt 0.5000 0.0000 0.5000 1
Pt6 Pt 0.5000 0.0000 0.8321 1
Pt7 Pt 0.5000 0.5000 0.0000 1
Pt8 Pt 0.5000 0.5000 0.3340 1
Pt9 Pt 0.5000 0.5000 0.6660 1
```

Results
Spin magnetization ... 0.000 μB per formula unit
Symmetry ... P4/mmm, No. 123
Formation energy from the elements ... -12.9 eV/f.u.

This record from Alexandria via LeMat-Bulk describes Nd2Dy8Mg after structural relaxation. The functional is PBE-GGA.

```
data_Nd2Dy8Mg
_cell_length_a 9.6111
_cell_length_b 9.6111
_cell_length_c 9.6111
_cell_angle_alpha 146.63
_cell_angle_beta 132.63
_cell_angle_gamma 59.18
_symmetry_space_group_name_H-M 'P 1'
_symmetry_Int_Tables_number 1
loop_
_symmetry_equiv_pos_as_xyz
'x,y,z'
loop_
_atom_site_label
_atom_site_type_symbol
_atom_site_fract_x
_atom_site_fract_y
_atom_site_fract_z
_atom_site_occupancy
Nd1 Nd 0.1958 0.1958 0.0000 1
Nd2 Nd 0.8042 0.8042 0.0000 1
Dy1 Dy 0.0863 0.3651 0.7213 1
Dy2 Dy 0.2303 0.0000 0.2303 1
Dy3 Dy 0.3265 0.8265 0.5000 1
Dy4 Dy 0.3562 0.6349 0.7213 1
Dy5 Dy 0.6438 0.3651 0.2787 1
Dy6 Dy 0.6735 0.1735 0.5000 1
Dy7 Dy 0.7697 0.0000 0.7697 1
Dy8 Dy 0.9137 0.6349 0.2787 1
Mg1 Mg 0.5000 0.5000 0.0000 1
```

Results
Spin magnetization ... 0.000 μB per formula unit
Symmetry ... Immm, No. 71
Formation energy from the elements ... 1.2 eV/f.u.
Energy relative to the lowest polymorph listed for this composition ... 0.0 meV/atom